A plane-wave DFT calculation with PBE+U was carried out for a relaxed NpCo2CuO8 crystal.

Output
Theoretical density in Mg/m³: 6.276
Raw total energy in eV for the cell shown: -80.645
Symmetry: I-4m2, No. 119
N(E_F) in states/eV per cell: 5.05
Crystal system: tetragonal
Total magnetic moment in μB per formula unit: 6.7

Unit cell a=5.727 b=5.727 c=5.727 alpha=110.12 beta=110.12 gamma=108.19
Sites, in units of the cell vectors:
Np: 0.250 0.750 0.500
Co: 0.750 0.250 0.500
Co: 0.500 0.500 0.000
Cu: 0.000 0.000 0.000
O: 0.372 0.068 0.304
O: 0.306 0.513 0.207
O: 0.306 0.099 0.793
O: 0.765 0.068 0.696
O: 0.901 0.694 0.207
O: 0.932 0.235 0.304
O: 0.932 0.628 0.696
O: 0.487 0.694 0.793